A geometry-optimized TbDy2Lu structure, computed with PBE.

The space group is Fm-3m. The value obtained for the energy is -4.447 eV/atom. Its excess energy over the best structure of this formula in the dataset is 0.118 eV/atom. The calculation puts the formation energy at 0.14 eV per atom.

Geometry as CIF:
```
data_TbDy2Lu
_cell_length_a 5.6147
_cell_length_b 5.6147
_cell_length_c 5.6147
_cell_angle_alpha 60.00
_cell_angle_beta 60.00
_cell_angle_gamma 60.00
_space_group_name_H-M_alt 'P 1'
_space_group_IT_number 1
loop_
_space_group_symop_operation_xyz
'x,y,z'
loop_
_atom_site_label
_atom_site_type_symbol
_atom_site_fract_x
_atom_site_fract_y
_atom_site_fract_z
Dy1 Dy 0.7500 0.7500 0.7500
Dy2 Dy 0.2500 0.2500 0.2500
Tb1 Tb 0.5000 0.5000 0.5000
Lu1 Lu 0.0000 0.0000 0.0000
```

A geometry-optimized ZrTlRh2 structure, computed with PBE.

The space group is F-43m. The value obtained for the energy is -6.478 eV/atom. The calculation puts the formation energy at -0.07 eV per atom.

Geometry as CIF:
```
data_ZrTlRh2
_cell_length_a 4.6793
_cell_length_b 4.6793
_cell_length_c 4.6793
_cell_angle_alpha 60.00
_cell_angle_beta 60.00
_cell_angle_gamma 60.00
_space_group_name_H-M_alt 'P 1'
_space_group_IT_number 1
loop_
_space_group_symop_operation_xyz
'x,y,z'
loop_
_atom_site_label
_atom_site_type_symbol
_atom_site_fract_x
_atom_site_fract_y
_atom_site_fract_z
Zr1 Zr 0.7500 0.7500 0.7500
Rh1 Rh 0.2500 0.2500 0.2500
Rh2 Rh 0.0000 0.0000 0.0000
Tl1 Tl 0.5000 0.5000 0.5000
```

A geometry-optimized CaTlSnPb structure, computed with PBE.

The space group is F-43m. The value obtained for the energy is -3.252 eV/atom. Its excess energy over the best structure of this formula in the dataset is 0.079 eV/atom. The calculation puts the formation energy at -0.23 eV per atom.

Geometry as CIF:
```
data_CaTlSnPb
_cell_length_a 5.5293
_cell_length_b 5.5293
_cell_length_c 5.5293
_cell_angle_alpha 60.00
_cell_angle_beta 60.00
_cell_angle_gamma 60.00
_space_group_name_H-M_alt 'P 1'
_space_group_IT_number 1
loop_
_space_group_symop_operation_xyz
'x,y,z'
loop_
_atom_site_label
_atom_site_type_symbol
_atom_site_fract_x
_atom_site_fract_y
_atom_site_fract_z
Ca1 Ca 0.0000 0.0000 0.0000
Pb1 Pb 0.5000 0.5000 0.5000
Sn1 Sn 0.2500 0.2500 0.2500
Tl1 Tl 0.7500 0.7500 0.7500
```

A geometry-optimized AlTlRh3 structure, computed with PBE.

The space group is Pm-3m. The value obtained for the energy is -5.326 eV/atom. Its excess energy over the best structure of this formula in the dataset is 0.000 eV/atom. The calculation puts the formation energy at 0.31 eV per atom.

Geometry as CIF:
```
data_AlTlRh3
_cell_length_a 4.5044
_cell_length_b 4.5044
_cell_length_c 4.5044
_cell_angle_alpha 90.00
_cell_angle_beta 90.00
_cell_angle_gamma 90.00
_space_group_name_H-M_alt 'P 1'
_space_group_IT_number 1
loop_
_space_group_symop_operation_xyz
'x,y,z'
loop_
_atom_site_label
_atom_site_type_symbol
_atom_site_fract_x
_atom_site_fract_y
_atom_site_fract_z
Rh1 Rh 0.0000 0.5000 0.0000
Rh2 Rh 0.0000 0.0000 0.5000
Rh3 Rh 0.5000 0.0000 0.0000
Tl1 Tl 0.5000 0.5000 0.5000
Al1 Al 0.0000 0.0000 0.0000
```

A geometry-optimized Li2ZnRe structure, computed with PBE.

The space group is Cmmm. The value obtained for the energy is -4.303 eV/atom. The calculation puts the formation energy at 0.08 eV per atom.

Geometry as CIF:
```
data_Li2ZnRe
_cell_length_a 2.5809
_cell_length_b 2.5809
_cell_length_c 9.2246
_cell_angle_alpha 90.00
_cell_angle_beta 90.00
_cell_angle_gamma 108.86
_space_group_name_H-M_alt 'P 1'
_space_group_IT_number 1
loop_
_space_group_symop_operation_xyz
'x,y,z'
loop_
_atom_site_label
_atom_site_type_symbol
_atom_site_fract_x
_atom_site_fract_y
_atom_site_fract_z
Li1 Li 0.0000 0.0000 0.4959
Li2 Li 0.0000 0.0000 0.0041
Re1 Re 0.5000 0.5000 0.2500
Zn1 Zn 0.5000 0.5000 0.7500
```

A geometry-optimized HfNiRu2 structure, computed with PBE.

The space group is I-42d. The value obtained for the energy is -8.397 eV/atom. The calculation puts the formation energy at 0.17 eV per atom.

Geometry as CIF:
```
data_HfNiRu2
_cell_length_a 3.8274
_cell_length_b 3.8274
_cell_length_c 9.3089
_cell_angle_alpha 78.14
_cell_angle_beta 78.14
_cell_angle_gamma 90.00
_space_group_name_H-M_alt 'P 1'
_space_group_IT_number 1
loop_
_space_group_symop_operation_xyz
'x,y,z'
loop_
_atom_site_label
_atom_site_type_symbol
_atom_site_fract_x
_atom_site_fract_y
_atom_site_fract_z
Hf1 Hf 0.0000 0.0000 0.0000
Hf2 Hf 0.7500 0.2500 0.5000
Ru1 Ru 0.5718 0.1250 0.2500
Ru2 Ru 0.8750 0.8218 0.7500
Ru3 Ru 0.1782 0.6250 0.2500
Ru4 Ru 0.3750 0.4282 0.7500
Ni1 Ni 0.2500 0.7500 0.5000
Ni2 Ni 0.5000 0.5000 0.0000
```

A geometry-optimized ZrMnS3 structure, computed with PBE.

The space group is Pm-3m. The value obtained for the energy is -6.381 eV/atom. Its excess energy over the best structure of this formula in the dataset is 0.728 eV/atom.

Geometry as CIF:
```
data_ZrMnS3
_cell_length_a 4.9479
_cell_length_b 4.9479
_cell_length_c 4.9479
_cell_angle_alpha 90.00
_cell_angle_beta 90.00
_cell_angle_gamma 90.00
_space_group_name_H-M_alt 'P 1'
_space_group_IT_number 1
loop_
_space_group_symop_operation_xyz
'x,y,z'
loop_
_atom_site_label
_atom_site_type_symbol
_atom_site_fract_x
_atom_site_fract_y
_atom_site_fract_z
S1 S 0.0000 0.5000 0.0000
S2 S 0.0000 0.0000 0.5000
S3 S 0.5000 0.0000 0.0000
Mn1 Mn 0.5000 0.5000 0.5000
Zr1 Zr 0.0000 0.0000 0.0000
```

A geometry-optimized Ti3PPd structure, computed with PBE.

The space group is Pm-3m. The value obtained for the energy is -6.289 eV/atom. Its excess energy over the best structure of this formula in the dataset is 0.819 eV/atom. The calculation puts the formation energy at 0.57 eV per atom.

Geometry as CIF:
```
data_Ti3PPd
_cell_length_a 4.7101
_cell_length_b 4.7101
_cell_length_c 4.7101
_cell_angle_alpha 90.00
_cell_angle_beta 90.00
_cell_angle_gamma 90.00
_space_group_name_H-M_alt 'P 1'
_space_group_IT_number 1
loop_
_space_group_symop_operation_xyz
'x,y,z'
loop_
_atom_site_label
_atom_site_type_symbol
_atom_site_fract_x
_atom_site_fract_y
_atom_site_fract_z
P1 P 0.5000 0.5000 0.5000
Ti1 Ti 0.0000 0.0000 0.5000
Ti2 Ti 0.5000 0.0000 0.0000
Ti3 Ti 0.0000 0.5000 0.0000
Pd1 Pd 0.0000 0.0000 0.0000
```

- Which of these has the highest energy?
  CaTlSnPb

- Which formula does entry 4 have?
  AlTlRh3

- Among the records above, which one has the lowest energy?
  HfNiRu2

- Look up the energy of the fifth one.
  -4.303 eV/atom